The following is a PBE-GGA calculation of a relaxed structure of SrTbPO, from OQMD via LeMat-Bulk.

Values from the calculation:
Size of the total moment = 0.004 μB/cell
Excess energy over the best structure of this formula in the dataset = 288 meV/atom
Calculated volume = 21.678 A^3/atom

abc: 4.363 4.363 9.110
angles: 90.00 90.00 90.00
Fractional positions:
Sr: 0.250 0.750 0.000
Sr: 0.750 0.250 0.000
Tb: 0.250 0.250 0.409
Tb: 0.750 0.750 0.591
P: 0.250 0.250 0.787
P: 0.750 0.750 0.213
O: 0.250 0.750 0.500
O: 0.750 0.250 0.500

=====

The following is a PBE-GGA calculation of a relaxed structure of TbGa2NiPt, from OQMD via LeMat-Bulk.

Values from the calculation:
Size of the total moment = 0.005 μB/cell
Excess energy over the best structure of this formula in the dataset = 0 meV/atom
Calculated volume = 17.662 A^3/atom

abc: 4.196 4.196 10.032
angles: 90.00 90.00 90.00
Fractional positions:
Tb: 0.250 0.250 0.235
Tb: 0.750 0.750 0.765
Ga: 0.250 0.250 0.890
Ga: 0.250 0.750 0.500
Ga: 0.750 0.250 0.500
Ga: 0.750 0.750 0.110
Ni: 0.250 0.750 0.000
Ni: 0.750 0.250 0.000
Pt: 0.250 0.250 0.644
Pt: 0.750 0.750 0.356

=====

The following is a PBE-GGA calculation of a relaxed structure of SrAlOs, from OQMD via LeMat-Bulk.

Values from the calculation:
Size of the total moment = 0.007 μB/cell
DFT total energy = -4.952 eV/atom
Calculated volume = 23.435 A^3/atom

abc: 4.633 4.633 4.633
angles: 60.00 60.00 60.00
Fractional positions:
Sr: 0.000 0.000 0.000
Al: 0.500 0.500 0.500
Os: 0.750 0.750 0.750

=====

The following is a PBE-GGA calculation of a relaxed structure of CdCuBiPd, from OQMD via LeMat-Bulk.

Values from the calculation:
Excess energy over the best structure of this formula in the dataset = 0 meV/atom
Calculated volume = 19.279 A^3/atom

abc: 4.778 4.778 4.778
angles: 60.00 60.00 60.00
Fractional positions:
Cd: 0.000 0.000 0.000
Cu: 0.750 0.750 0.750
Bi: 0.500 0.500 0.500
Pd: 0.250 0.250 0.250

=====

The following is a PBE-GGA calculation of a relaxed structure of ErTh2Ga2, from OQMD via LeMat-Bulk.

Values from the calculation:
Size of the total moment = 0.060 μB/cell
DFT total energy = -5.560 eV/atom
Calculated volume = 26.533 A^3/atom

abc: 7.763 7.763 4.402
angles: 90.00 90.00 90.00
Fractional positions:
Er: 0.000 0.000 0.000
Er: 0.500 0.500 0.000
Th: 0.174 0.326 0.500
Th: 0.326 0.826 0.500
Th: 0.674 0.174 0.500
Th: 0.826 0.674 0.500
Ga: 0.122 0.622 0.000
Ga: 0.378 0.122 0.000
Ga: 0.622 0.878 0.000
Ga: 0.878 0.378 0.000

=====

The following is a PBE-GGA calculation of a relaxed structure of TbCuSi2Ir, from OQMD via LeMat-Bulk.

Values from the calculation:
Size of the total moment = 0.001 μB/cell
DFT total energy = -6.386 eV/atom
Calculated volume = 16.310 A^3/atom

abc: 5.754 5.754 5.754
angles: 138.88 138.88 59.55
Fractional positions:
Tb: 0.000 0.000 0.000
Cu: 0.250 0.750 0.500
Si: 0.381 0.381 0.000
Si: 0.619 0.619 0.000
Ir: 0.750 0.250 0.500

=====

The following is a PBE-GGA calculation of a relaxed structure of Zr2Ga2O5, from OQMD via LeMat-Bulk.

Values from the calculation:
Size of the total moment = 0.000 μB/cell
Excess energy over the best structure of this formula in the dataset = 0 meV/atom
Calculated volume = 15.451 A^3/atom

abc: 4.035 4.035 8.540
angles: 90.00 90.00 90.00
Fractional positions:
Zr: 0.000 0.000 0.236
Zr: 0.000 0.000 0.764
Ga: 0.500 0.500 0.000
Ga: 0.500 0.500 0.500
O: 0.000 0.000 0.000
O: 0.000 0.500 0.288
O: 0.000 0.500 0.712
O: 0.500 0.000 0.288
O: 0.500 0.000 0.712

=====

The following is a PBE-GGA calculation of a relaxed structure of Sc4CoAsN2, from OQMD via LeMat-Bulk.

Values from the calculation:
Size of the total moment = 0.197 μB/cell
DFT total energy = -7.851 eV/atom
Calculated volume = 14.595 A^3/atom

abc: 3.214 3.214 13.050
angles: 90.00 90.00 120.00
Fractional positions:
Sc: 0.000 0.000 0.145
Sc: 0.000 0.000 0.855
Sc: 0.667 0.333 0.339
Sc: 0.667 0.333 0.661
Co: 0.667 0.333 0.000
As: 0.000 0.000 0.500
N: 0.333 0.667 0.252
N: 0.333 0.667 0.748